i) First-principles (GGA-PBE) data for a geometry-optimized ScZn3Tc structure, as listed in Alexandria.

a b c (Å): 4.975 4.975 4.975
angles (deg): 90.00 90.00 90.00
Fractional coordinates of all 5 atoms:
Zn  0.000  0.000  0.500
Zn  0.000  0.500  0.000
Zn  0.500  0.000  0.000
Tc  0.500  0.500  0.500
Sc  0.000  0.000  0.000

Properties
M_tot   0.589 μB/atom

***

ii) First-principles (GGA-PBE) data for a geometry-optimized ScZn3Tc structure, as listed in Alexandria.

a b c (Å): 4.718 4.718 4.718
angles (deg): 90.00 90.00 90.00
Fractional coordinates of all 5 atoms:
Sc  0.500  0.500  0.500
Zn  0.000  0.000  0.500
Zn  0.500  0.000  0.000
Zn  0.000  0.500  0.000
Tc  0.000  0.000  0.000

Properties
M_tot   0.000 μB/atom

***

According to the calculations, the structures order from most to least stable as ii), i).